[1]
{"formula": "AcSm3Ag2", "functional": "GGA-PBE", "state": "optimized geometry", "formation_energy_mev_per_atom": -120, "mass_density_g_cm3": 8.13, "relative_energy_mev_per_atom": 39, "lattice_angstrom": [[5.4396, 0.0005, 0.0009], [-2.7190, 9.0739, -0.6071], [0.0009, -4.6391, 7.7027]], "species": ["Ac", "Ac", "Sm", "Sm", "Sm", "Sm", "Sm", "Sm", "Ag", "Ag", "Ag", "Ag"], "frac_coords": [[0.8677, 0.7354, 0.9287], [0.1323, 0.2646, 0.0713], [0.3026, 0.6051, 0.6029], [0.9363, 0.8730, 0.5935], [0.6186, 0.2369, 0.7173], [0.3814, 0.7631, 0.2827], [0.0637, 0.1270, 0.4065], [0.6974, 0.3949, 0.3971], [0.5000, 0.9998, 0.8445], [0.5000, 0.0002, 0.1555], [0.7750, 0.5504, 0.1608], [0.2250, 0.4496, 0.8392]]}


[2]
{"formula": "CsLi2PrI6", "functional": "GGA-PBE", "state": "optimized geometry", "e_form_raw_ev_per_atom": -1.323, "mass_density_g_cm3": 4.19, "lattice_angstrom": [[8.0627, 0.0045, 0.0014], [4.0352, 6.9859, -0.0037], [4.0333, 2.3258, 7.3817]], "species": ["Cs", "Li", "Li", "Pr", "I", "I", "I", "I", "I", "I"], "frac_coords": [[0.7860, 0.7862, 0.6415], [0.5149, 0.5145, 0.4570], [0.0037, 0.0047, 0.9882], [0.3224, 0.3223, 0.0326], [0.6079, 0.2628, 0.2250], [0.2629, 0.9042, 0.2249], [0.9038, 0.6079, 0.2252], [0.3018, 0.7491, 0.7405], [0.7498, 0.2081, 0.7401], [0.2082, 0.3016, 0.7404]]}


[3]
{"formula": "CuSnF5", "functional": "GGA-PBE", "state": "optimized geometry", "e_form_raw_ev_per_atom": -2.027, "mass_density_g_cm3": 4.15, "lattice_angstrom": [[5.2115, -0.2499, 2.1035], [0.9175, 5.1362, 2.1035], [-0.0078, -0.0062, 8.2037]], "species": ["Cu", "Cu", "Sn", "Sn", "F", "F", "F", "F", "F", "F", "F", "F", "F", "F"], "frac_coords": [[0.4881, 0.5119, 0.2500], [0.5119, 0.4881, 0.7500], [0.0000, 0.0000, 0.0000], [0.0000, 0.0000, 0.5000], [0.7854, 0.7024, 0.1394], [0.2540, 0.6890, 0.4611], [0.7024, 0.7854, 0.6394], [0.9268, 0.0732, 0.2500], [0.3110, 0.7460, 0.0389], [0.6890, 0.2540, 0.9611], [0.0732, 0.9268, 0.7500], [0.2976, 0.2146, 0.3606], [0.7460, 0.3110, 0.5389], [0.2146, 0.2976, 0.8606]]}


[4]
{"formula": "TmPuNp2N4", "functional": "GGA-PBE", "state": "optimized geometry", "e_form_raw_ev_per_atom": -1.260, "mass_density_g_cm3": 13.60, "lattice_angstrom": [[-1.7058, 2.5594, -1.5096], [-4.6542, -0.9800, 3.5975], [3.6727, 3.9546, 2.5545]], "species": ["Tm", "Pu", "Np", "Np", "N", "N", "N", "N"], "frac_coords": [[0.5000, 0.5000, 0.0000], [0.0000, 0.0000, 0.0000], [0.5000, 0.0000, 0.5000], [0.0000, 0.5000, 0.5000], [0.5000, 0.2591, 0.2566], [0.5000, 0.7409, 0.7434], [0.0000, 0.2533, 0.7443], [0.0000, 0.7467, 0.2557]]}


[5]
{"formula": "Pa2AlOs", "functional": "GGA-PBE", "state": "optimized geometry", "formation_energy_mev_per_atom": -251, "mass_density_g_cm3": 14.10, "relative_energy_mev_per_atom": 0, "lattice_angstrom": [[4.3010, 0.0000, 0.0000], [0.0000, 4.3122, 0.0000], [0.0000, 0.0000, 4.3122]], "species": ["Pa", "Pa", "Os", "Al"], "frac_coords": [[0.0000, 0.0000, 0.5000], [0.0000, 0.5000, 0.0000], [0.5000, 0.0000, 0.0000], [0.5000, 0.5000, 0.5000]]}


[6]
{"formula": "CuNiPb", "functional": "GGA-PBE", "state": "optimized geometry", "formation_energy_mev_per_atom": 221, "mass_density_g_cm3": 10.17, "relative_energy_mev_per_atom": 66, "lattice_angstrom": [[-3.8599, -1.3582, -1.1004], [-0.7647, -1.2037, -3.9901], [-0.6305, -4.0936, -0.8942]], "species": ["Cu", "Ni", "Pb"], "frac_coords": [[0.5000, 0.5000, 0.5000], [0.7500, 0.7500, 0.7500], [0.0000, 0.0000, 0.0000]]}


[7]
{"formula": "NaYGa3", "functional": "GGA-PBE", "state": "optimized geometry", "formation_energy_mev_per_atom": 332, "mass_density_g_cm3": 4.44, "relative_energy_mev_per_atom": 0, "lattice_angstrom": [[4.9332, 0.0000, 0.0000], [0.0000, 4.9332, 0.0000], [0.0000, 0.0000, 4.9332]], "species": ["Y", "Na", "Ga", "Ga", "Ga"], "frac_coords": [[0.5000, 0.5000, 0.5000], [0.0000, 0.0000, 0.0000], [0.0000, 0.5000, 0.0000], [0.0000, 0.0000, 0.5000], [0.5000, 0.0000, 0.0000]]}


[8]
{"formula": "Ba3Rh2", "functional": "GGA-PBE", "state": "optimized geometry", "formation_energy_mev_per_atom": -50, "mass_density_g_cm3": 6.26, "relative_energy_mev_per_atom": 0, "lattice_angstrom": [[-6.7202, -7.6010, 0.6643], [-2.4834, -6.2825, 5.8201], [-6.6550, 1.3142, 0.5036]], "species": ["Ba", "Ba", "Ba", "Ba", "Ba", "Ba", "Rh", "Rh", "Rh", "Rh"], "frac_coords": [[0.6427, 0.9385, 0.1946], [0.2242, 0.1946, 0.9385], [0.0554, 0.0258, 0.6073], [0.3115, 0.6073, 0.0258], [0.9189, 0.5811, 0.5811], [0.6689, 0.3311, 0.3311], [0.5399, 0.7072, 0.0786], [0.6743, 0.0786, 0.7072], [0.1714, 0.5757, 0.7101], [0.5428, 0.7101, 0.5757]]}


[9]
{"formula": "Ho2TlPb9", "functional": "GGA-PBE", "state": "optimized geometry", "formation_energy_mev_per_atom": -168, "mass_density_g_cm3": 11.14, "lattice_angstrom": [[-4.6645, 1.3196, 0.3557], [0.3299, -0.1404, 4.8473], [4.1321, 14.5678, 0.1407]], "species": ["Ho", "Ho", "Tl", "Pb", "Pb", "Pb", "Pb", "Pb", "Pb", "Pb", "Pb", "Pb"], "frac_coords": [[0.0000, 0.0000, 0.3484], [0.0000, 0.0000, 0.6516], [0.0000, 0.0000, 0.0000], [0.5000, 0.5000, 0.0000], [0.5000, 0.5000, 0.3339], [0.5000, 0.5000, 0.6661], [0.5000, 0.0000, 0.1727], [0.5000, 0.0000, 0.5000], [0.5000, 0.0000, 0.8273], [0.0000, 0.5000, 0.1727], [0.0000, 0.5000, 0.5000], [0.0000, 0.5000, 0.8273]]}


[10]
{"formula": "BiBPt3", "functional": "GGA-PBE", "state": "optimized geometry", "formation_energy_mev_per_atom": 3, "mass_density_g_cm3": 14.45, "relative_energy_mev_per_atom": 221, "lattice_angstrom": [[3.1664, -1.8281, 0.0000], [0.0000, 3.6562, 0.0000], [0.0000, 0.0000, 15.9798]], "species": ["B", "B", "Bi", "Bi", "Pt", "Pt", "Pt", "Pt", "Pt", "Pt"], "frac_coords": [[0.3333, 0.6667, 0.7500], [0.6667, 0.3333, 0.2500], [0.0000, 0.0000, 0.0000], [0.0000, 0.0000, 0.5000], [0.0000, 0.0000, 0.2500], [0.0000, 0.0000, 0.7500], [0.3333, 0.6667, 0.8779], [0.3333, 0.6667, 0.6221], [0.6667, 0.3333, 0.3779], [0.6667, 0.3333, 0.1221]]}


[11]
{"formula": "RbGaBr2", "functional": "GGA-PBE", "state": "optimized geometry", "e_form_raw_ev_per_atom": -1.058, "mass_density_g_cm3": 2.60, "relative_energy_mev_per_atom": 46, "lattice_angstrom": [[-2.7964, -2.2227, 6.3475], [-4.3492, -4.6458, -3.5429], [1.7639, -8.7924, 1.8771]], "species": ["Ga", "Ga", "Br", "Br", "Br", "Br", "Rb", "Rb"], "frac_coords": [[0.5000, 0.5000, 0.0000], [0.2500, 0.7500, 0.5000], [0.5831, 0.1250, 0.2500], [0.1669, 0.6250, 0.2500], [0.3750, 0.4169, 0.7500], [0.8750, 0.8331, 0.7500], [0.0000, 0.0000, 0.0000], [0.7500, 0.2500, 0.5000]]}


[12]
{"formula": "Na2PPb", "functional": "GGA-PBE", "state": "optimized geometry", "formation_energy_mev_per_atom": 62, "mass_density_g_cm3": 4.61, "relative_energy_mev_per_atom": 56, "lattice_angstrom": [[-2.3583, 3.7601, -0.3034], [-2.2829, -1.1377, 3.6450], [4.6588, 6.1636, 7.5566]], "species": ["Pb", "Pb", "P", "P", "Na", "Na", "Na", "Na"], "frac_coords": [[0.0000, 0.0000, 0.0000], [0.7500, 0.2500, 0.5000], [0.5000, 0.5000, 0.0000], [0.2500, 0.7500, 0.5000], [0.5921, 0.1250, 0.2500], [0.1579, 0.6250, 0.2500], [0.3750, 0.4079, 0.7500], [0.8750, 0.8421, 0.7500]]}